Computed, not measured: an optimized crystal structure of TlCdIn2Pd at the PBE level of DFT.

Cell lengths 5.1833, 5.1833, 5.2728 Å; angles 90.00, 90.00, 90.00 degrees
Last column: nearest neighbours and their distance in Å.
Space group P4/mmm (No. 123)
Inequivalent atoms, fractional coordinates:
Tl (0.0000, 0.0000, 0.0000)  4 Cd 3.67, 8 In 3.70
Cd (0.5000, 0.5000, 0.0000)  2 Pd 2.64
In (0.0000, 0.5000, 0.5000)  2 Pd 2.59
Pd (0.5000, 0.5000, 0.5000)  4 In 2.59, 2 Cd 2.64

Calculated values
The energy above the lowest structure with this stoichiometry is 0 meV/atom. The formation energy comes out at -0.099 eV/atom. For the total DFT energy (no corrections), the calculation gives -2.889 eV per atom.